[1]
A plane-wave DFT calculation with GGA-PBE was carried out for crystalline CdAsCl2 at its relaxed geometry.

Properties
raw total energy = -10.21 eV per cell
Fermi-level density of states = 1.344 states/eV/cell

Cell lengths 3.3828, 5.6339, 5.1222 Å; angles 90.00, 90.00, 90.00 degrees
With the nearest neighbours (Å) after each atom.
Fractional coordinates of all 4 atoms:
1 As 0.0000 0.0000 0.6545  1 Cl 2.16
2 Cd 0.5000 0.5000 0.6332  2 Cl 2.55-2.57
3 Cl 0.0000 0.0000 0.0770  1 As 2.16
4 Cl 0.5000 0.5000 0.1352  2 Cd 2.55-2.57



[2]
A plane-wave DFT calculation with GGA-PBE was carried out for crystalline InPd4Pt3 at its relaxed geometry.

Properties
raw total energy = -41.78 eV per cell
energy of formation from the pure elements = -2 kJ/mol of atoms
Fermi-level density of states = 9.808 states/eV/cell

Cell lengths 2.7513, 5.3235, 9.5008 Å; angles 106.27, 98.33, 90.00 degrees
With the nearest neighbours (Å) after each atom.
Fractional coordinates of all 8 atoms:
1 Pd 0.3738 0.6177 0.7476  4 Pd 2.60-2.75, 1 In 2.65, 3 Pt 2.78-2.79
2 Pd 0.3738 0.1300 0.7476  4 Pd 2.60-2.75, 1 In 2.65, 3 Pt 2.78-2.79
3 In 0.5000 0.0000 0.0000  4 Pd 2.65, 2 In 2.75
4 Pt 0.0000 0.5000 0.0000  2 Pt 2.75, 8 Pd 2.96, 4 In 3.00
5 Pt 0.2377 0.2377 0.4754  6 Pt 2.75-3.03, 6 Pd 2.78-2.79
6 Pd 0.6262 0.3823 0.2524  4 Pd 2.60-2.75, 1 In 2.65, 3 Pt 2.78-2.79
7 Pt 0.7623 0.7623 0.5246  6 Pt 2.75-3.03, 6 Pd 2.78-2.79
8 Pd 0.6262 0.8700 0.2524  4 Pd 2.60-2.75, 1 In 2.65, 3 Pt 2.78-2.79



[3]
A plane-wave DFT calculation with GGA-PBE was carried out for crystalline PrNd3Th2Se6 at its relaxed geometry.

Properties
raw total energy = -75.59 eV per cell
Fermi-level density of states = 6.906 states/eV/cell

Cell lengths 7.2919, 7.2919, 7.3523 Å; angles 99.53, 99.53, 119.82 degrees
With the nearest neighbours (Å) after each atom.
Fractional coordinates of all 12 atoms:
1 Se 0.9156 0.5788 0.7473  2 Th 2.98-2.99, 3 Nd 2.99-3.00, 1 Pr 3.02
2 Se 0.7453 0.7453 0.2472  3 Nd 2.97-2.98, 2 Th 2.97, 1 Pr 3.00
3 Th 0.6676 0.3324 0.0000  6 Se 2.97-2.99
4 Pr 0.0000 0.0000 0.0000  6 Se 3.00-3.02
5 Se 0.4212 0.0844 0.2527  2 Th 2.98-2.99, 3 Nd 2.99-3.00, 1 Pr 3.02
6 Se 0.5788 0.9156 0.7473  2 Th 2.98-2.99, 3 Nd 2.99-3.00, 1 Pr 3.02
7 Se 0.0844 0.4212 0.2527  2 Th 2.98-2.99, 3 Nd 2.99-3.00, 1 Pr 3.02
8 Nd 0.1622 0.8378 0.5000  6 Se 2.97-3.00
9 Nd 0.8378 0.1622 0.5000  6 Se 2.97-3.00
10 Nd 0.5000 0.5000 0.5000  6 Se 2.98-2.99
11 Se 0.2547 0.2547 0.7528  3 Nd 2.97-2.98, 2 Th 2.97, 1 Pr 3.00
12 Th 0.3324 0.6676 0.0000  6 Se 2.97-2.99